An optimized crystal structure of La3PrHg2. Source: Alexandria, functional PBE.

Cell and atoms, written as extended XYZ:
```
6
Lattice="-2.2662 2.5276 -1.8233 -3.0551 -1.3562 1.9171 2.0823 8.6997 9.4725" Properties=species:S:1:pos:R:3 pbc="T T T"
Pr -1.6195 4.9356 4.7832
La 1.4475 6.0475 6.5847
Hg -0.9037 7.9263 8.0396
La 0.0000 0.0000 0.0000
Hg -2.3353 1.9448 1.5268
La 0.6348 2.6522 2.8878
```

Total magnetization: 0.3 Bohr magnetons per cell
Calculated volume: 193 Å³ per cell
Uncorrected energy: -3.6865 eV per atom
ΔE_f: -7.51 kcal/mol of atoms
Symmetry: P4/mmm
Crystal system: tetragonal
Energy relative to the lowest polymorph listed for this composition: 16.7 meV per atom
N(E_F): 8.04 states/eV per cell